# 1
SrInPb2 | PBE | relaxed

space-group type: No. 122
formation energy from the elements: -0.1401 eV/atom
Fermi-level density of states: 0.4730 states/eV per atom

abc: 11.585 11.585 11.585
angles: 154.68 154.68 36.11
Fractional positions:
1 Sr 0.000 0.000 0.000
2 Sr 0.750 0.250 0.500
3 In 0.250 0.750 0.500
4 In 0.500 0.500 0.000
5 Pb 0.176 0.625 0.051
6 Pb 0.375 0.426 0.551
7 Pb 0.574 0.125 0.949
8 Pb 0.875 0.824 0.449

# 2
La2TeCl | PBE | relaxed

space-group type: No. 12
polymorph energy (0 for the lowest one): 292 meV/atom
Fermi-level density of states: 0.8578 states/eV per atom

abc: 6.044 6.044 3.954
angles: 106.05 106.05 100.14
Fractional positions:
1 La 0.000 0.500 0.000
2 La 0.500 0.000 0.000
3 Te 0.000 0.000 0.500
4 Cl 0.500 0.500 0.500

Total magnetic moment / μB per atom: 0.000, 0.000